# 1
{"formula": "Rb3Nd2US6", "functional": "PBE", "state": "optimized geometry", "lattice_angstrom": [[3.626, -6.284, 0.000], [3.626, 6.284, 0.000], [-2.418, 0.000, 7.714]], "species": ["Rb", "Rb", "Rb", "Nd", "Nd", "U", "S", "S", "S", "S", "S", "S"], "frac_coords": [[0.000, 0.000, 0.000], [0.331, 0.669, 0.000], [0.669, 0.331, 0.000], [0.166, 0.834, 0.500], [0.834, 0.166, 0.500], [0.500, 0.500, 0.500], [0.110, 0.435, 0.304], [0.241, 0.241, 0.697], [0.435, 0.110, 0.304], [0.565, 0.890, 0.696], [0.759, 0.759, 0.303], [0.890, 0.565, 0.696]], "energy_ev_per_atom": -5.69, "crystal_system": "monoclinic"}

=====

# 2
{"formula": "PdPbAu2O8", "functional": "PBE", "state": "optimized geometry", "lattice_angstrom": [[-3.351, 3.351, 3.628], [3.351, -3.351, 3.628], [3.351, 3.351, -3.628]], "species": ["Pd", "Pb", "Au", "Au", "O", "O", "O", "O", "O", "O", "O", "O"], "frac_coords": [[0.000, 0.000, 0.000], [0.750, 0.250, 0.500], [0.250, 0.750, 0.500], [0.500, 0.500, 0.000], [0.023, 0.333, 0.310], [0.023, 0.714, 0.690], [0.109, 0.282, 0.827], [0.286, 0.977, 0.310], [0.456, 0.282, 0.173], [0.667, 0.977, 0.690], [0.718, 0.544, 0.827], [0.718, 0.891, 0.173]], "energy_ev_per_atom": -4.37, "crystal_system": "tetragonal"}

=====

# 3
{"formula": "ScZnN", "functional": "PBE", "state": "optimized geometry", "lattice_angstrom": [[3.106, 0.000, 0.000], [0.000, 3.106, 0.000], [0.000, 0.000, 4.270]], "species": ["Sc", "Zn", "N"], "frac_coords": [[0.000, 0.000, 0.000], [0.500, 0.500, 0.500], [0.500, 0.500, 0.000]], "energy_ev_per_atom": -6.19, "crystal_system": "tetragonal"}

=====

# 4
{"formula": "Zr5Os", "functional": "PBE", "state": "optimized geometry", "lattice_angstrom": [[0.000, 3.990, 3.990], [3.990, 0.000, 3.990], [3.990, 3.990, 0.000]], "species": ["Zr", "Zr", "Zr", "Zr", "Zr", "Os"], "frac_coords": [[0.000, 0.000, 0.000], [0.126, 0.625, 0.625], [0.625, 0.126, 0.625], [0.625, 0.625, 0.126], [0.625, 0.625, 0.625], [0.250, 0.250, 0.250]], "crystal_system": "cubic", "formation_enthalpy_0k_mev_per_atom": 437}

=====

# 5
{"formula": "CsAsPd2", "functional": "PBE", "state": "optimized geometry", "lattice_angstrom": [[6.234, 0.000, 0.000], [0.000, 6.793, 0.000], [-0.031, 0.000, 6.246]], "species": ["Cs", "Cs", "As", "As", "Pd", "Pd", "Pd", "Pd"], "frac_coords": [[0.000, 0.000, 0.000], [0.342, 0.500, 0.298], [0.498, 0.249, 0.800], [0.498, 0.751, 0.800], [0.208, 0.500, 0.791], [0.507, 0.000, 0.092], [0.535, 0.000, 0.524], [0.775, 0.500, 0.768]], "crystal_system": "monoclinic", "formation_enthalpy_0k_mev_per_atom": -56}

=====

# 6
{"formula": "LiEr4Ru2", "functional": "PBE", "state": "optimized geometry", "lattice_angstrom": [[-4.339, 4.339, 4.299], [4.339, -4.339, 4.299], [4.339, 4.339, -4.299]], "species": ["Li", "Li", "Er", "Er", "Er", "Er", "Er", "Er", "Er", "Er", "Ru", "Ru", "Ru", "Ru"], "frac_coords": [[0.000, 0.000, 0.000], [0.750, 0.250, 0.500], [0.014, 0.403, 0.251], [0.153, 0.264, 0.751], [0.153, 0.763, 0.749], [0.237, 0.986, 0.390], [0.513, 0.403, 0.249], [0.597, 0.847, 0.110], [0.597, 0.847, 0.610], [0.736, 0.487, 0.890], [0.203, 0.625, 0.078], [0.375, 0.453, 0.578], [0.547, 0.125, 0.922], [0.875, 0.797, 0.422]], "crystal_system": "tetragonal", "formation_enthalpy_0k_mev_per_atom": -209}

=====

# 7
{"formula": "Hg2SeBr", "functional": "PBE", "state": "optimized geometry", "lattice_angstrom": [[2.642, -5.151, 0.000], [2.642, 5.151, 0.000], [0.000, 0.000, 4.501]], "species": ["Hg", "Hg", "Se", "Br"], "frac_coords": [[0.193, 0.807, 0.000], [0.807, 0.193, 0.000], [0.000, 0.000, 0.500], [0.500, 0.500, 0.500]], "energy_ev_per_atom": -1.48, "crystal_system": "orthorhombic"}

=====

# 8
{"formula": "Rb2EuAg", "functional": "PBE", "state": "optimized geometry", "lattice_angstrom": [[2.198, 1.269, 13.292], [-2.198, 1.269, 13.292], [0.000, -2.537, 13.292]], "species": ["Rb", "Rb", "Eu", "Ag"], "frac_coords": [[0.106, 0.106, 0.106], [0.894, 0.894, 0.894], [0.000, 0.000, 0.000], [0.500, 0.500, 0.500]], "crystal_system": "trigonal", "formation_enthalpy_0k_mev_per_atom": 265}